No. 1
Entry from the Alexandria database: a geometry-optimized K2ZrPb structure (PBE).

Output
The calculation puts the volume at 127.6 Å³ per cell. Its energy above the most stable polymorph in this dataset is 211 meV/atom. Its spin magnetization is 0.00 μB per cell.

a = 7.066 Å, b = 7.066 Å, c = 7.066 Å
α = 142.91°, β = 142.89°, γ = 53.47°
Positions (direct):
Pb (0.750, 0.250, 0.500)
K (0.500, 0.500, 0.000)
K (0.000, 0.000, 0.000)
Zr (0.250, 0.750, 0.500)


No. 2
Entry from the Alexandria database: a geometry-optimized AlFeSb2 structure (PBE).

Output
The calculation puts the volume at 85.0 Å³ per cell. Its spin magnetization is 0.62 μB per cell. The total DFT energy (no corrections) is -20.1 eV for the cell shown.

a = 4.663 Å, b = 4.663 Å, c = 6.385 Å
α = 72.20°, β = 72.20°, γ = 40.36°
Positions (direct):
Fe (0.284, 0.284, 0.375)
Sb (0.914, 0.914, 0.053)
Sb (0.736, 0.736, 0.700)
Al (0.565, 0.565, 0.372)


No. 3
Entry from the Alexandria database: a geometry-optimized BaAs structure (PBE).

Output
The calculation puts the volume at 1122.3 Å³ per cell. Its spin magnetization is 0.00 μB per cell. The total DFT energy (no corrections) is -134.6 eV for the cell shown.

a = 13.824 Å, b = 7.607 Å, c = 10.672 Å
α = 90.00°, β = 90.00°, γ = 90.00°
Positions (direct):
Ba (0.250, 0.250, 0.536)
Ba (0.500, 0.500, 0.214)
Ba (0.250, 0.750, 0.464)
Ba (0.500, 0.500, 0.786)
Ba (0.000, 0.500, 0.714)
Ba (0.750, 0.250, 0.464)
Ba (0.500, 0.000, 0.714)
Ba (0.000, 0.000, 0.214)
Ba (0.750, 0.250, 0.036)
Ba (0.750, 0.750, 0.536)
Ba (0.000, 0.500, 0.286)
Ba (0.250, 0.250, 0.964)
Ba (0.250, 0.750, 0.036)
Ba (0.750, 0.750, 0.964)
Ba (0.000, 0.000, 0.786)
Ba (0.500, 0.000, 0.286)
As (0.000, 0.167, 0.500)
As (0.250, 0.417, 0.250)
As (0.500, 0.167, 0.000)
As (0.250, 0.083, 0.250)
As (0.250, 0.917, 0.750)
As (0.000, 0.833, 0.500)
As (0.750, 0.417, 0.750)
As (0.750, 0.917, 0.250)
As (0.750, 0.583, 0.250)
As (0.500, 0.333, 0.500)
As (0.250, 0.583, 0.750)
As (0.500, 0.833, 0.000)
As (0.500, 0.667, 0.500)
As (0.000, 0.333, 0.000)
As (0.750, 0.083, 0.750)
As (0.000, 0.667, 0.000)


No. 4
Entry from the Alexandria database: a geometry-optimized PrHoTe2S structure (PBE).

Output
The calculation puts the volume at 313.2 Å³ per cell. Its spin magnetization is 0.00 μB per cell. The total DFT energy (no corrections) is -54.4 eV for the cell shown.

a = 4.462 Å, b = 4.462 Å, c = 15.729 Å
α = 90.00°, β = 90.00°, γ = 90.00°
Positions (direct):
Te (0.000, 0.500, 0.092)
Te (0.000, 0.500, 0.706)
Te (0.500, 0.000, 0.294)
Te (0.500, 0.000, 0.908)
Pr (0.500, 0.000, 0.607)
Pr (0.000, 0.500, 0.393)
S (0.000, 0.000, 0.500)
S (0.500, 0.500, 0.500)
Ho (0.000, 0.500, 0.890)
Ho (0.500, 0.000, 0.110)


No. 5
Entry from the Alexandria database: a geometry-optimized Si2TeSe structure (PBE).

Output
The calculation puts the volume at 90.5 Å³ per cell. Its energy above the most stable polymorph in this dataset is 256 meV/atom. Its spin magnetization is 0.00 μB per cell.

a = 3.988 Å, b = 6.946 Å, c = 5.654 Å
α = 35.28°, β = 90.00°, γ = 90.00°
Positions (direct):
Si (0.000, 0.000, 0.000)
Si (0.500, 0.500, 0.000)
Te (0.500, 0.500, 0.500)
Se (0.000, 0.000, 0.500)


No. 6
Entry from the Alexandria database: a geometry-optimized Pm2ZnGa3Cu12 structure (PBE).

Output
The calculation puts the volume at 334.4 Å³ per cell. Its spin magnetization is 0.00 μB per cell. The total DFT energy (no corrections) is -65.2 eV for the cell shown.

a = 7.511 Å, b = 7.511 Å, c = 7.511 Å
α = 65.34°, β = 65.34°, γ = 65.34°
Positions (direct):
Cu (0.640, 0.986, 0.640)
Cu (0.648, 0.140, 0.140)
Cu (0.360, 0.014, 0.360)
Cu (0.140, 0.648, 0.140)
Cu (0.640, 0.640, 0.986)
Cu (0.352, 0.860, 0.860)
Cu (0.860, 0.860, 0.352)
Cu (0.986, 0.640, 0.640)
Cu (0.140, 0.140, 0.648)
Cu (0.014, 0.360, 0.360)
Cu (0.360, 0.360, 0.014)
Cu (0.860, 0.352, 0.860)
Zn (0.000, 0.000, 0.000)
Pm (0.400, 0.400, 0.400)
Pm (0.600, 0.600, 0.600)
Ga (0.500, 0.000, 0.000)
Ga (0.000, 0.500, 0.000)
Ga (0.000, 0.000, 0.500)